Computed, not measured: a relaxed CaCo2P4O14 crystal at the PBE with a Hubbard U level of DFT.

Calculated values
- total magnetization (μB/f.u.) = 4.1
- final energy (eV per cell) = -144.6

Cell and atoms, written as CIF:
```
data_CaCo2P4O14
_chemical_formula_sum 'Ca1 Co2 P4 O14'
_cell_length_a 6.2666
_cell_length_b 6.2974
_cell_length_c 7.0319
_cell_angle_alpha 65.23
_cell_angle_beta 86.98
_cell_angle_gamma 82.56
_space_group_name_H-M_alt 'P 1'
_space_group_IT_number 1
_space_group_name_Hall 'P 1'
loop_
_atom_site_label
_atom_site_type_symbol
_atom_site_fract_x
_atom_site_fract_y
_atom_site_fract_z
Ca1 Ca 0.0000 0.0000 0.0000
Co1 Co 0.1573 0.2796 0.3104
Co2 Co 0.4459 0.4330 0.8753
P1 P 0.2085 0.6937 0.4444
P2 P 0.4187 0.0121 0.7324
P3 P 0.6726 0.1448 0.3166
P4 P 0.9351 0.5628 0.8331
O1 O 0.0025 0.6628 0.5926
O2 O 0.1390 0.3909 0.9545
O3 O 0.1623 0.5974 0.2840
O4 O 0.2028 0.1439 0.6200
O5 O 0.2065 0.9591 0.3107
O6 O 0.3972 0.7516 0.8663
O7 O 0.4095 0.5682 0.5778
O8 O 0.4713 0.3094 0.1905
O9 O 0.4773 0.1181 0.8816
O10 O 0.5965 0.0367 0.5569
O11 O 0.7463 0.9506 0.2509
O12 O 0.7633 0.3990 0.8549
O13 O 0.8530 0.2910 0.3135
O14 O 0.8708 0.7606 0.8943
```